(1)
{"formula": "ErNiGe2Rh2", "functional": "PBE", "state": "relaxed", "magnetic_moment_mub_per_cell": 0.0, "final_energy_ry_per_atom": -0.4433, "formation_energy_ev_per_atom": -0.318, "cell": [[4.408, 0.000, 0.000], [0.000, 4.408, 0.000], [0.000, 0.000, 5.452]], "species": ["Er", "Ni", "Ge", "Ge", "Rh", "Rh"], "frac_coords": [[0.000, 0.000, 0.500], [0.000, 0.000, 0.000], [0.500, 0.000, 0.000], [0.000, 0.500, 0.000], [0.500, 0.500, 0.740], [0.500, 0.500, 0.260]]}

(2)
{"formula": "ErNiGeRh", "functional": "PBE", "state": "relaxed", "magnetic_moment_mub_per_cell": 0.0, "final_energy_ry_per_atom": -0.4406, "formation_energy_ev_per_atom": -0.416, "cell": [[4.403, 0.000, 0.000], [0.000, 3.478, 0.000], [0.000, -1.739, 4.632]], "species": ["Er", "Ni", "Ge", "Rh"], "frac_coords": [[0.500, 0.223, 0.446], [0.000, 0.905, 0.811], [0.000, 0.605, 0.211], [0.500, 0.494, 0.988]]}

(3)
{"formula": "Er2Ni3Ge4Ru", "functional": "PBE", "state": "relaxed", "magnetic_moment_mub_per_cell": 0.0, "final_energy_ry_per_atom": -0.4479, "formation_energy_ev_per_atom": -0.672, "cell": [[4.054, 0.000, 0.000], [0.000, 4.054, 0.000], [0.000, 0.000, 9.913]], "species": ["Er", "Er", "Ni", "Ni", "Ni", "Ge", "Ge", "Ge", "Ge", "Ru"], "frac_coords": [[0.500, 0.000, 0.243], [0.000, 0.500, 0.757], [0.000, 0.000, 0.500], [0.500, 0.000, 0.872], [0.000, 0.500, 0.128], [0.500, 0.500, 0.000], [0.000, 0.000, 0.000], [0.500, 0.000, 0.637], [0.000, 0.500, 0.363], [0.500, 0.500, 0.500]]}

(4)
{"formula": "Er2Ni4Ge3Ru", "functional": "PBE", "state": "relaxed", "magnetic_moment_mub_per_cell": 0.8, "final_energy_ry_per_atom": -0.4475, "formation_energy_ev_per_atom": -0.550, "cell": [[3.936, 0.000, 0.000], [0.000, 3.936, 0.000], [0.000, 0.000, 10.220]], "species": ["Er", "Er", "Ni", "Ni", "Ni", "Ni", "Ge", "Ge", "Ge", "Ru"], "frac_coords": [[0.500, 0.000, 0.248], [0.000, 0.500, 0.752], [0.500, 0.500, 0.000], [0.000, 0.000, 0.000], [0.500, 0.000, 0.642], [0.000, 0.500, 0.358], [0.000, 0.000, 0.500], [0.500, 0.000, 0.870], [0.000, 0.500, 0.130], [0.500, 0.500, 0.500]]}